(P)
# CuNiN2, relaxed, DFT GGA-PBEsol
data_CuNiN2
_space_group_name_H-M_alt 'R -3 m'
_space_group_IT_number 166
_space_group_name_Hall '-R 3 2"'
_cell_length_a 2.7738
_cell_length_b 2.7738
_cell_length_c 17.0801
_cell_angle_alpha 90.00
_cell_angle_beta 90.00
_cell_angle_gamma 120.00
loop_
_atom_site_label
_atom_site_type_symbol
_atom_site_fract_x
_atom_site_fract_y
_atom_site_fract_z
Cu1 Cu 0.0000 0.0000 0.0000
Ni1 Ni 0.0000 0.0000 0.5000
N1 N 0.0000 0.0000 0.1066
# Spin magnetization   0.001 μB per atom


(Q)
# CuNiN2, relaxed, DFT GGA-PBEsol
data_CuNiN2
_space_group_name_H-M_alt 'R -3 m'
_space_group_IT_number 166
_space_group_name_Hall '-R 3 2"'
_cell_length_a 2.8406
_cell_length_b 2.8406
_cell_length_c 16.7704
_cell_angle_alpha 90.00
_cell_angle_beta 90.00
_cell_angle_gamma 120.00
loop_
_atom_site_label
_atom_site_type_symbol
_atom_site_fract_x
_atom_site_fract_y
_atom_site_fract_z
Cu1 Cu 0.0000 0.0000 0.0000
Ni1 Ni 0.0000 0.0000 0.5000
N1 N 0.0000 0.0000 0.3955
# Spin magnetization   0.000 μB per atom


Short version: (P), (Q), most stable first.


(P)
# Cu3NiN, relaxed, DFT GGA-PBEsol
data_Cu3NiN
_space_group_name_H-M_alt 'P m -3 m'
_space_group_IT_number 221
_space_group_name_Hall '-P 4 2 3'
_cell_length_a 4.262
_cell_length_b 4.262
_cell_length_c 4.262
_cell_angle_alpha 90.00
_cell_angle_beta 90.00
_cell_angle_gamma 90.00
loop_
_atom_site_label
_atom_site_type_symbol
_atom_site_fract_x
_atom_site_fract_y
_atom_site_fract_z
Cu1 Cu 0.000 0.000 0.500
Ni1 Ni 0.000 0.000 0.000
N1 N 0.500 0.500 0.500
# Spin magnetization   0.443 μB per atom


(Q)
# Cu3NiN, relaxed, DFT GGA-PBEsol
data_Cu3NiN
_space_group_name_H-M_alt 'P m -3 m'
_space_group_IT_number 221
_space_group_name_Hall '-P 4 2 3'
_cell_length_a 3.747
_cell_length_b 3.747
_cell_length_c 3.747
_cell_angle_alpha 90.00
_cell_angle_beta 90.00
_cell_angle_gamma 90.00
loop_
_atom_site_label
_atom_site_type_symbol
_atom_site_fract_x
_atom_site_fract_y
_atom_site_fract_z
Cu1 Cu 0.000 0.000 0.500
Ni1 Ni 0.500 0.500 0.500
N1 N 0.000 0.000 0.000
# Spin magnetization   0.000 μB per atom


Short version: (Q), (P), most stable first.


(P)
# CuTe2PtN, relaxed, DFT GGA-PBEsol
data_CuTe2PtN
_space_group_name_H-M_alt 'P 4/m m m'
_space_group_IT_number 123
_space_group_name_Hall '-P 4 2'
_cell_length_a 5.499
_cell_length_b 5.499
_cell_length_c 3.586
_cell_angle_alpha 90.00
_cell_angle_beta 90.00
_cell_angle_gamma 90.00
loop_
_atom_site_label
_atom_site_type_symbol
_atom_site_fract_x
_atom_site_fract_y
_atom_site_fract_z
Cu1 Cu 0.000 0.000 0.000
Te1 Te 0.000 0.500 0.500
Pt1 Pt 0.500 0.500 0.500
N1 N 0.500 0.500 0.000
# Spin magnetization   0.000 μB per atom


(Q)
# CuTe2PtN, relaxed, DFT GGA-PBEsol
data_CuTe2PtN
_space_group_name_H-M_alt 'P 4/m m m'
_space_group_IT_number 123
_space_group_name_Hall '-P 4 2'
_cell_length_a 5.169
_cell_length_b 5.169
_cell_length_c 3.411
_cell_angle_alpha 90.00
_cell_angle_beta 90.00
_cell_angle_gamma 90.00
loop_
_atom_site_label
_atom_site_type_symbol
_atom_site_fract_x
_atom_site_fract_y
_atom_site_fract_z
Cu1 Cu 0.000 0.000 0.000
Te1 Te 0.000 0.500 0.000
Pt1 Pt 0.500 0.500 0.500
N1 N 0.000 0.000 0.500
# Spin magnetization   0.143 μB per atom


Short version: (P), (Q), most stable first.


(P)
# NaCu3O4, relaxed, DFT GGA-PBEsol
data_NaCu3O4
_space_group_name_H-M_alt 'P 41 2 2'
_space_group_IT_number 91
_space_group_name_Hall 'P 4w 2c'
_cell_length_a 5.956
_cell_length_b 5.956
_cell_length_c 8.710
_cell_angle_alpha 90.00
_cell_angle_beta 90.00
_cell_angle_gamma 90.00
loop_
_atom_site_label
_atom_site_type_symbol
_atom_site_fract_x
_atom_site_fract_y
_atom_site_fract_z
Na1 Na 0.000 0.255 0.000
Cu1 Cu 0.000 0.249 0.500
Cu2 Cu 0.247 0.500 0.250
Cu3 Cu 0.256 0.500 0.750
O1 O 0.022 0.271 0.273
O2 O 0.272 0.471 0.533
# Spin magnetization   0.024 μB per atom


(Q)
# NaCu3O4, relaxed, DFT GGA-PBEsol
data_NaCu3O4
_space_group_name_H-M_alt 'P m -3 n'
_space_group_IT_number 223
_space_group_name_Hall '-P 4n 2 3'
_cell_length_a 5.391
_cell_length_b 5.391
_cell_length_c 5.391
_cell_angle_alpha 90.00
_cell_angle_beta 90.00
_cell_angle_gamma 90.00
loop_
_atom_site_label
_atom_site_type_symbol
_atom_site_fract_x
_atom_site_fract_y
_atom_site_fract_z
Na1 Na 0.000 0.000 0.000
Cu1 Cu 0.000 0.250 0.500
O1 O 0.250 0.250 0.250
# Spin magnetization   0.000 μB per atom


(R)
# NaCu3O4, relaxed, DFT GGA-PBEsol
data_NaCu3O4
_space_group_name_H-M_alt 'C m m m'
_space_group_IT_number 65
_space_group_name_Hall '-C 2 2'
_cell_length_a 5.383
_cell_length_b 10.682
_cell_length_c 3.300
_cell_angle_alpha 90.00
_cell_angle_beta 90.00
_cell_angle_gamma 90.00
loop_
_atom_site_label
_atom_site_type_symbol
_atom_site_fract_x
_atom_site_fract_y
_atom_site_fract_z
Na1 Na 0.000 0.000 0.000
Cu1 Cu 0.000 0.242 0.500
Cu2 Cu 0.000 0.500 0.500
O1 O 0.237 0.370 0.500
# Spin magnetization   0.000 μB per atom


Short version: (Q), (P), (R), most stable first.


(P)
# NaCu2O2, relaxed, DFT GGA-PBEsol
data_NaCu2O2
_space_group_name_H-M_alt 'P n m a'
_space_group_IT_number 62
_space_group_name_Hall '-P 2ac 2n'
_cell_length_a 6.091
_cell_length_b 2.932
_cell_length_c 13.150
_cell_angle_alpha 90.00
_cell_angle_beta 90.00
_cell_angle_gamma 90.00
loop_
_atom_site_label
_atom_site_type_symbol
_atom_site_fract_x
_atom_site_fract_y
_atom_site_fract_z
Na1 Na 0.161 0.250 0.076
Cu1 Cu 0.100 0.250 0.757
Cu2 Cu 0.147 0.250 0.385
O1 O 0.066 0.250 0.620
O2 O 0.135 0.250 0.896
# Spin magnetization   0.187 μB per atom


(Q)
# NaCu2O2, relaxed, DFT GGA-PBEsol
data_NaCu2O2
_space_group_name_H-M_alt 'P 42/n m c'
_space_group_IT_number 137
_cell_length_a 5.969
_cell_length_b 5.969
_cell_length_c 13.027
_cell_angle_alpha 90.00
_cell_angle_beta 90.00
_cell_angle_gamma 90.00
loop_
_space_group_symop_operation_xyz
'x,y,z'
'-x,-y,-z'
'-y+1/2,x,z+1/2'
'y+1/2,-x,-z+1/2'
'-x+1/2,-y+1/2,z'
'x+1/2,y+1/2,-z'
'y,-x+1/2,z+1/2'
'-y,x+1/2,-z+1/2'
'x+1/2,-y,-z'
'-x+1/2,y,z'
'-y,-x,-z+1/2'
'y,x,z+1/2'
'-x,y+1/2,-z'
'x,-y+1/2,z'
'y+1/2,x+1/2,-z+1/2'
'-y+1/2,-x+1/2,z+1/2'
loop_
_atom_site_label
_atom_site_type_symbol
_atom_site_fract_x
_atom_site_fract_y
_atom_site_fract_z
Na1 Na 0.012 0.250 0.172
Cu1 Cu 0.002 0.750 0.138
Cu2 Cu 0.002 0.750 0.506
O1 O 0.032 0.250 0.353
O2 O 0.034 0.750 0.367
# Spin magnetization   0.187 μB per atom


Short version: (P), (Q), most stable first.


(P)
# SrNd2Cu2O6, relaxed, DFT GGA-PBEsol
data_SrNd2Cu2O6
_space_group_name_H-M_alt 'I 4 m m'
_space_group_IT_number 107
_space_group_name_Hall 'I 4 -2'
_cell_length_a 3.802
_cell_length_b 3.802
_cell_length_c 19.450
_cell_angle_alpha 90.00
_cell_angle_beta 90.00
_cell_angle_gamma 90.00
loop_
_atom_site_label
_atom_site_type_symbol
_atom_site_fract_x
_atom_site_fract_y
_atom_site_fract_z
Sr1 Sr 0.000 0.000 0.000
Nd1 Nd 0.000 0.000 0.640
Nd2 Nd 0.000 0.000 0.820
Cu1 Cu 0.000 0.000 0.232
Cu2 Cu 0.000 0.000 0.410
O1 O 0.000 0.000 0.123
O2 O 0.000 0.000 0.526
O3 O 0.000 0.500 0.236
O4 O 0.000 0.500 0.396
# Spin magnetization   0.000 μB per atom


(Q)
# SrNd2Cu2O6, relaxed, DFT GGA-PBEsol
data_SrNd2Cu2O6
_space_group_name_H-M_alt 'I 4/m m m'
_space_group_IT_number 139
_space_group_name_Hall '-I 4 2'
_cell_length_a 3.792
_cell_length_b 3.792
_cell_length_c 19.417
_cell_angle_alpha 90.00
_cell_angle_beta 90.00
_cell_angle_gamma 90.00
loop_
_atom_site_label
_atom_site_type_symbol
_atom_site_fract_x
_atom_site_fract_y
_atom_site_fract_z
Sr1 Sr 0.000 0.000 0.000
Nd1 Nd 0.000 0.000 0.177
Cu1 Cu 0.000 0.000 0.410
O1 O 0.000 0.000 0.294
O2 O 0.000 0.500 0.091
# Spin magnetization   0.000 μB per atom


Short version: (Q), (P), most stable first.


(P)
# CuNi5, relaxed, DFT GGA-PBEsol
data_CuNi5
_space_group_name_H-M_alt 'C 1 m 1'
_space_group_IT_number 8
_space_group_name_Hall 'C -2y'
_cell_length_a 9.119
_cell_length_b 2.447
_cell_length_c 5.867
_cell_angle_alpha 90.00
_cell_angle_beta 105.64
_cell_angle_gamma 90.00
loop_
_atom_site_label
_atom_site_type_symbol
_atom_site_fract_x
_atom_site_fract_y
_atom_site_fract_z
Cu1 Cu 0.000 0.000 0.000
Ni1 Ni 0.055 0.000 0.609
Ni2 Ni 0.167 0.500 0.336
Ni3 Ni 0.223 0.500 0.944
Ni4 Ni 0.331 0.000 0.665
Ni5 Ni 0.387 0.000 0.280
# Spin magnetization   0.455 μB per atom


(Q)
# CuNi5, relaxed, DFT GGA-PBEsol
data_CuNi5
_space_group_name_H-M_alt 'P 4/m m m'
_space_group_IT_number 123
_space_group_name_Hall '-P 4 2'
_cell_length_a 2.456
_cell_length_b 2.456
_cell_length_c 10.429
_cell_angle_alpha 90.00
_cell_angle_beta 90.00
_cell_angle_gamma 90.00
loop_
_atom_site_label
_atom_site_type_symbol
_atom_site_fract_x
_atom_site_fract_y
_atom_site_fract_z
Cu1 Cu 0.000 0.000 0.000
Ni1 Ni 0.000 0.000 0.335
Ni2 Ni 0.500 0.500 0.172
Ni3 Ni 0.500 0.500 0.500
# Spin magnetization   0.463 μB per atom


Short version: (Q), (P), most stable first.


(P)
# CuNi3O4, relaxed, DFT GGA-PBEsol
data_CuNi3O4
_space_group_name_H-M_alt 'C m m m'
_space_group_IT_number 65
_space_group_name_Hall '-C 2 2'
_cell_length_a 5.654
_cell_length_b 8.852
_cell_length_c 2.837
_cell_angle_alpha 90.00
_cell_angle_beta 90.00
_cell_angle_gamma 90.00
loop_
_atom_site_label
_atom_site_type_symbol
_atom_site_fract_x
_atom_site_fract_y
_atom_site_fract_z
Cu1 Cu 0.000 0.000 0.000
Ni1 Ni 0.000 0.500 0.000
Ni2 Ni 0.250 0.250 0.500
O1 O 0.000 0.284 0.000
O2 O 0.245 0.000 0.500
# Spin magnetization   0.340 μB per atom


(Q)
# CuNi3O4, relaxed, DFT GGA-PBEsol
data_CuNi3O4
_space_group_name_H-M_alt 'R -3 m'
_space_group_IT_number 166
_space_group_name_Hall '-R 3 2"'
_cell_length_a 2.9130
_cell_length_b 2.9130
_cell_length_c 28.6058
_cell_angle_alpha 90.00
_cell_angle_beta 90.00
_cell_angle_gamma 120.00
loop_
_atom_site_label
_atom_site_type_symbol
_atom_site_fract_x
_atom_site_fract_y
_atom_site_fract_z
Cu1 Cu 0.0000 0.0000 0.0000
Ni1 Ni 0.0000 0.0000 0.2492
Ni2 Ni 0.0000 0.0000 0.5000
O1 O 0.0000 0.0000 0.1253
O2 O 0.0000 0.0000 0.3787
# Spin magnetization   0.125 μB per atom


Short version: (Q), (P), most stable first.